[1]
Computed, not measured: an optimized crystal structure of La2InRh at the GGA-PBE level of DFT.

```
4
Lattice="3.594 0.000 0.000 0.000 3.594 0.000 0.000 0.000 8.394" Properties=species:S:1:pos:R:3 pbc="T T T"
La 0.000 0.000 0.351
La 0.000 0.000 3.846
In 1.797 1.797 6.295
Rh 1.797 1.797 2.098
```

## Properties
space-group type	P4/mmm (123)
Fermi-level density of states	4.33	states/eV/cell
energy of formation from the pure elements	-55.32	kJ/mol of atoms
calculated total energy	-5.560	eV per atom



[2]
Computed, not measured: an optimized crystal structure of CaPbW2 at the GGA-PBE level of DFT.

```
4
Lattice="-2.847 -0.786 0.215 0.847 -0.389 -2.810 2.737 -9.334 2.118" Properties=species:S:1:pos:R:3 pbc="T T T"
W 1.404 -4.789 1.087
W 2.702 -9.212 2.090
Pb 1.053 -7.588 0.291
Ca -0.315 -2.921 -0.768
```

## Properties
space-group type	Cmmm (65)
Fermi-level density of states	3.33	states/eV/cell
energy of formation from the pure elements	106.74	kJ/mol of atoms
calculated total energy	-6.798	eV per atom



[3]
Computed, not measured: an optimized crystal structure of PuMgIr at the GGA-PBE level of DFT.

```
6
Lattice="4.518 0.000 0.000 2.259 3.913 0.000 2.259 1.304 7.115" Properties=species:S:1:pos:R:3 pbc="T T T"
Mg 2.259 1.304 4.203
Mg 6.777 3.913 2.912
Ir 4.518 2.608 4.895
Ir 4.518 2.608 2.221
Pu 2.259 1.304 0.895
Pu 6.777 3.913 6.221
```

## Properties
space-group type	R-3m (166)
Fermi-level density of states	14.17	states/eV/cell
energy of formation from the pure elements	-26.21	kJ/mol of atoms
calculated total energy	-8.534	eV per atom



[4]
Computed, not measured: an optimized crystal structure of Sc2SF at the GGA-PBE level of DFT.

```
4
Lattice="0.000 3.105 3.105 3.105 0.000 3.105 3.105 3.105 0.000" Properties=species:S:1:pos:R:3 pbc="T T T"
S 3.105 3.105 3.105
F 0.000 0.000 0.000
Sc 4.657 4.657 4.657
Sc 1.552 1.552 1.552
```

## Properties
uncorrected formation energy	-1.67	eV per atom
space-group type	Fm-3m (225)
Fermi-level density of states	3.57	states/eV/cell
calculated total energy	-6.337	eV per atom



[5]
Computed, not measured: an optimized crystal structure of CaY3Cl at the GGA-PBE level of DFT.

```
5
Lattice="5.353 0.000 0.000 0.000 5.353 0.000 0.000 0.000 5.353" Properties=species:S:1:pos:R:3 pbc="T T T"
Ca 2.677 2.677 2.677
Y 2.677 0.000 0.000
Y 0.000 2.677 0.000
Y 0.000 0.000 2.677
Cl 0.000 0.000 0.000
```

## Properties
uncorrected formation energy	-0.41	eV per atom
space-group type	Pm-3m (221)
Fermi-level density of states	6.08	states/eV/cell
calculated total energy	-5.056	eV per atom



[6]
Computed, not measured: an optimized crystal structure of TlCoCu2 at the GGA-PBE level of DFT.

```
4
Lattice="-2.194 3.838 0.379 -1.895 -0.893 -1.939 -2.922 -1.987 3.200" Properties=species:S:1:pos:R:3 pbc="T T T"
Cu -2.537 -1.521 0.710
Cu -4.689 -2.798 1.181
Co -4.710 -0.241 1.135
Tl -2.302 1.199 0.504
```

## Properties
space-group type	P2/m (10)
Fermi-level density of states	3.84	states/eV/cell
energy of formation from the pure elements	43.15	kJ/mol of atoms
calculated total energy	-3.969	eV per atom



[7]
Computed, not measured: an optimized crystal structure of KRbTlBr3 at the GGA-PBE level of DFT.

```
12
Lattice="-2.735 1.909 3.578 -7.303 -4.946 -2.943 5.447 -6.786 7.783" Properties=species:S:1:pos:R:3 pbc="T T T"
Br -7.989 -3.719 0.893
Br -0.210 -7.706 5.622
Br 3.398 -6.104 7.525
Br -0.930 -2.464 5.619
Br -4.381 -2.117 2.796
Br -3.661 -7.359 2.799
K -5.905 -5.128 3.238
K 1.314 -4.695 5.181
Rb -0.884 -1.972 2.049
Rb -3.708 -7.851 6.370
Tl -5.067 -3.401 -0.386
Tl 0.476 -6.422 8.804
```

## Properties
uncorrected formation energy	-1.39	eV per atom
space-group type	P2_1/m (11)
Fermi-level density of states	0.00	states/eV/cell
calculated total energy	-2.967	eV per atom



[8]
Computed, not measured: an optimized crystal structure of CsCdIn4 at the GGA-PBE level of DFT.

```
6
Lattice="6.500 0.000 0.000 3.250 5.629 0.000 3.250 1.876 5.307" Properties=species:S:1:pos:R:3 pbc="T T T"
In 4.867 4.696 3.321
In 8.134 4.696 3.321
In 6.500 1.867 3.321
In 6.500 3.753 0.653
Cd 0.000 0.000 0.000
Cs 3.250 1.876 1.327
```

## Properties
space-group type	F-43m (216)
Fermi-level density of states	1.97	states/eV/cell
energy of formation from the pure elements	5.03	kJ/mol of atoms
calculated total energy	-2.068	eV per atom



[9]
Computed, not measured: an optimized crystal structure of In3HgBi2Pb3 at the GGA-PBE level of DFT.

```
9
Lattice="3.767 0.000 0.000 0.000 9.136 0.000 0.000 -4.568 7.912" Properties=species:S:1:pos:R:3 pbc="T T T"
In 1.883 -3.324 5.757
In 1.883 6.647 0.000
In 1.883 1.245 2.156
Hg 0.000 0.000 0.000
Bi 1.883 0.000 5.275
Bi 1.883 4.568 2.637
Pb 0.000 3.454 0.000
Pb 0.000 -1.727 2.991
Pb 0.000 2.841 4.921
```

## Properties
space-group type	P-62m (189)
Fermi-level density of states	4.13	states/eV/cell
energy of formation from the pure elements	4.40	kJ/mol of atoms
calculated total energy	-2.999	eV per atom



[10]
Computed, not measured: an optimized crystal structure of Rb2SiNiCl6 at the GGA-PBE level of DFT.

```
10
Lattice="-1.460 6.528 2.634 -5.655 0.514 -4.408 -6.209 1.644 2.295" Properties=species:S:1:pos:R:3 pbc="T T T"
Cl -2.531 4.993 0.836
Cl -1.816 1.797 -0.453
Cl -4.910 2.563 0.736
Cl -8.414 6.122 -0.216
Cl -4.584 2.049 -2.611
Cl -5.299 5.244 -1.322
Rb -5.613 5.846 2.020
Rb -7.711 2.839 -1.501
Ni 0.000 0.000 0.000
Si -3.558 3.521 -0.887
```

## Properties
uncorrected formation energy	-1.11	eV per atom
space-group type	I4/mmm (139)
Fermi-level density of states	5.08	states/eV/cell
calculated total energy	-3.530	eV per atom



[11]
Computed, not measured: an optimized crystal structure of Sc8C3NO4 at the GGA-PBE level of DFT.

```
16
Lattice="-5.194 3.464 1.644 -0.475 -3.331 5.518 5.526 2.982 -1.500" Properties=species:S:1:pos:R:3 pbc="T T T"
C -0.072 1.557 2.831
C 2.525 -0.175 2.009
C -2.834 0.066 3.581
O -2.597 1.732 0.822
O 0.166 3.223 0.072
O 0.000 0.000 0.000
O 2.763 1.491 -0.750
Sc -1.501 1.592 4.580
Sc -3.990 1.762 2.671
Sc -1.403 0.037 1.852
Sc 3.847 1.352 2.990
Sc 1.358 1.522 1.081
Sc 1.259 3.077 3.809
Sc 1.094 -0.133 3.738
Sc -1.237 3.247 1.924
N -0.238 -1.666 2.759
```

## Properties
uncorrected formation energy	-2.08	eV per atom
space-group type	R-3m (166)
Fermi-level density of states	2.42	states/eV/cell
calculated total energy	-8.735	eV per atom



[12]
Computed, not measured: an optimized crystal structure of ZnHgAs2 at the GGA-PBE level of DFT.

```
4
Lattice="-2.754 0.645 -0.857 -0.442 -0.655 2.848 1.498 9.658 2.455" Properties=species:S:1:pos:R:3 pbc="T T T"
As 1.407 9.071 2.306
As 0.840 5.416 1.377
Zn -0.475 7.238 2.837
Hg -1.223 2.409 1.609
```

## Properties
space-group type	Cmmm (65)
Fermi-level density of states	1.75	states/eV/cell
energy of formation from the pure elements	22.53	kJ/mol of atoms
calculated total energy	-2.485	eV per atom